A geometry-optimized LiNi2RuO6 structure. Source: Alexandria, functional PBE+U.

Unit cell a=5.0808 b=5.0808 c=13.9032 alpha=90.00 beta=90.00 gamma=120.00
Last column: nearest neighbours and their distance in Å.
Space group R3 (No. 146, hexagonal axes)
Inequivalent atoms, fractional coordinates:
Li: 0.0000 0.0000 0.0000 x3  3 O 1.99
Ni: 0.0000 0.0000 0.2128 x3  6 O 2.00-2.09
Ni: 0.0000 0.0000 0.7159 x3  6 O 2.04-2.06
Ru: 0.0000 0.0000 0.5201 x3  6 O 1.88-1.98
O: 0.0162 0.3343 0.1217 x9  1 Ru 1.88, 2 Ni 2.04-2.09
O: 0.0462 0.6786 0.2803 x9  1 Ru 1.98, 1 Li 1.99, 2 Ni 2.00-2.06

## Properties
**DOS(E_F)**: 7.69 states/eV/cell
**Raw total energy**: -5.5912 eV/atom
**Volume**: 10.4 Å³/atom